(1)
Below is crystalline CaLuRhAu at its relaxed geometry, with properties calculated at the GGA-PBE level.

Unit cell a=4.911 b=4.911 c=4.911 alpha=60.00 beta=60.00 gamma=60.00
Atoms (fractional coordinates):
Rh  0.750  0.750  0.750
Ca  0.500  0.500  0.500
Au  0.250  0.250  0.250
Lu  0.000  0.000  0.000

Properties
**ΔE_f**: -2.85 eV per formula unit
**Energy**: -5.001 eV per atom

(2)
Below is crystalline BaMg2Pb at its relaxed geometry, with properties calculated at the GGA-PBE level.

Unit cell a=5.337 b=4.014 c=6.321 alpha=90.02 beta=90.00 gamma=90.00
Atoms (fractional coordinates):
Ba  0.500  0.750  0.750
Pb  0.500  0.250  0.250
Mg  0.000  0.250  0.496
Mg  0.000  0.250  0.004

Properties
**ΔE_f**: -0.48 eV per formula unit
**Energy**: -2.325 eV per atom

(3)
Below is crystalline Ba3Be2ZnO6 at its relaxed geometry, with properties calculated at the GGA-PBE level.

Unit cell a=5.718 b=5.718 c=6.793 alpha=90.00 beta=90.00 gamma=120.00
Atoms (fractional coordinates):
Zn  0.000  0.000  0.500
O  0.178  0.822  0.297
O  0.645  0.822  0.297
O  0.822  0.178  0.703
O  0.355  0.178  0.703
O  0.178  0.355  0.297
O  0.822  0.645  0.703
Be  0.333  0.667  0.274
Be  0.667  0.333  0.726
Ba  0.000  0.000  0.000
Ba  0.333  0.667  0.674
Ba  0.667  0.333  0.326

Properties
**Formation energy from raw total energies**: -2.310 eV/atom
**Energy**: -5.997 eV per atom

(4)
Below is crystalline Li2Ge2Pt at its relaxed geometry, with properties calculated at the GGA-PBE level.

Unit cell a=4.133 b=5.272 c=5.272 alpha=58.62 beta=66.92 gamma=66.92
Atoms (fractional coordinates):
Ge  0.500  0.732  0.268
Ge  0.500  0.268  0.732
Li  0.196  0.304  0.304
Li  0.804  0.696  0.696
Pt  0.000  0.000  0.000

Properties
**ΔE_f**: -2.21 eV per formula unit
**Energy**: -4.263 eV per atom

(5)
Below is crystalline Y4Er5Sc2 at its relaxed geometry, with properties calculated at the GGA-PBE level.

Unit cell a=3.423 b=11.204 c=10.706 alpha=121.55 beta=99.20 gamma=90.00
Atoms (fractional coordinates):
Y  0.196  0.196  0.393
Y  0.804  0.804  0.607
Y  0.000  0.723  0.000
Y  0.000  0.277  0.000
Er  0.180  0.878  0.360
Er  0.500  0.000  0.000
Er  0.820  0.518  0.640
Er  0.180  0.482  0.360
Er  0.820  0.122  0.640
Sc  0.412  0.412  0.824
Sc  0.588  0.588  0.176

Properties
**ΔE_f**: 2.30 eV per formula unit
**E above lowest polymorph**: 167.8 meV/atom
**Energy**: -5.367 eV per atom

(6)
Below is crystalline InMo2Rh at its relaxed geometry, with properties calculated at the GGA-PBE level.

Unit cell a=9.457 b=9.457 c=9.457 alpha=17.51 beta=17.51 gamma=17.51
Atoms (fractional coordinates):
Mo  0.998  0.998  0.998
Mo  0.246  0.246  0.246
Rh  0.504  0.504  0.504
In  0.753  0.753  0.753

Properties
**ΔE_f**: 0.84 eV per formula unit
**Energy**: -7.728 eV per atom